# 1
# Sr2BeAu, relaxed, DFT GGA-PBEsol
# energy of formation	0.104	eV/atom
data_Sr2BeAu
_chemical_formula_sum 'Sr2 Be1 Au1'
_cell_length_a 4.445
_cell_length_b 4.445
_cell_length_c 6.270
_cell_angle_alpha 90.00
_cell_angle_beta 90.00
_cell_angle_gamma 90.00
_symmetry_space_group_name_H-M 'P 4/m m m'
_symmetry_Int_Tables_number 123
_symmetry_space_group_name_Hall '-P 4 2'
loop_
_atom_site_label
_atom_site_fract_x
_atom_site_fract_y
_atom_site_fract_z
Sr1 0.000 0.000 0.000
Sr2 0.500 0.500 0.500
Be1 0.000 0.000 0.500
Au1 0.500 0.500 0.000

---

# 2
# SrBe2Au, relaxed, DFT GGA-PBEsol
# energy of formation	0.061	eV/atom
data_SrBe2Au
_chemical_formula_sum 'Sr1 Be2 Au1'
_cell_length_a 3.619
_cell_length_b 3.769
_cell_length_c 5.642
_cell_angle_alpha 90.00
_cell_angle_beta 101.46
_cell_angle_gamma 90.00
_symmetry_space_group_name_H-M 'P 1 m 1'
_symmetry_Int_Tables_number 6
loop_
_symmetry_equiv_pos_as_xyz
'x,y,z'
'x,-y,z'
loop_
_atom_site_label
_atom_site_fract_x
_atom_site_fract_y
_atom_site_fract_z
Sr1 0.000 0.000 0.000
Be1 0.380 0.500 0.686
Be2 0.412 0.000 0.519
Au1 0.807 0.500 0.447

---

# 3
# SrBeAu3, relaxed, DFT GGA-PBEsol
# energy of formation	-0.423	eV/atom
# energy above the most stable polymorph in this dataset	0.0	kJ/mol of formula units
data_SrBeAu3
_chemical_formula_sum 'Sr1 Be1 Au3'
_cell_length_a 4.600
_cell_length_b 4.600
_cell_length_c 4.600
_cell_angle_alpha 90.00
_cell_angle_beta 90.00
_cell_angle_gamma 90.00
_symmetry_space_group_name_H-M 'P m -3 m'
_symmetry_Int_Tables_number 221
_symmetry_space_group_name_Hall '-P 4 2 3'
loop_
_atom_site_label
_atom_site_fract_x
_atom_site_fract_y
_atom_site_fract_z
Sr1 0.000 0.000 0.000
Be1 0.500 0.500 0.500
Au1 0.000 0.500 0.500

---

# 4
# SrY2BeAu, relaxed, DFT GGA-PBEsol
# energy of formation	0.044	eV/atom
data_SrY2BeAu
_chemical_formula_sum 'Sr1 Y2 Be1 Au1'
_cell_length_a 5.299
_cell_length_b 5.299
_cell_length_c 4.471
_cell_angle_alpha 90.00
_cell_angle_beta 90.00
_cell_angle_gamma 90.00
_symmetry_space_group_name_H-M 'P 4/m m m'
_symmetry_Int_Tables_number 123
_symmetry_space_group_name_Hall '-P 4 2'
loop_
_atom_site_label
_atom_site_fract_x
_atom_site_fract_y
_atom_site_fract_z
Sr1 0.000 0.000 0.000
Y1 0.000 0.500 0.500
Be1 0.500 0.500 0.500
Au1 0.500 0.500 0.000

---

# 5
# Ta2Be2Au, relaxed, DFT GGA-PBEsol
# energy of formation	-0.272	eV/atom
data_Ta2Be2Au
_chemical_formula_sum 'Ta4 Be4 Au2'
_cell_length_a 6.002
_cell_length_b 6.002
_cell_length_c 3.705
_cell_angle_alpha 90.00
_cell_angle_beta 90.00
_cell_angle_gamma 90.00
_symmetry_space_group_name_H-M 'P 4/m b m'
_symmetry_Int_Tables_number 127
_symmetry_space_group_name_Hall '-P 4 2ab'
loop_
_atom_site_label
_atom_site_fract_x
_atom_site_fract_y
_atom_site_fract_z
Ta1 0.165 0.335 0.000
Be1 0.126 0.626 0.500
Au1 0.000 0.000 0.500

---

# 6
# TaBeAu2, relaxed, DFT GGA-PBEsol
# energy of formation	-0.141	eV/atom
data_TaBeAu2
_chemical_formula_sum 'Ta1 Be1 Au2'
_cell_length_a 2.901
_cell_length_b 2.901
_cell_length_c 6.978
_cell_angle_alpha 90.00
_cell_angle_beta 90.00
_cell_angle_gamma 90.00
_symmetry_space_group_name_H-M 'P 4/m m m'
_symmetry_Int_Tables_number 123
_symmetry_space_group_name_Hall '-P 4 2'
loop_
_atom_site_label
_atom_site_fract_x
_atom_site_fract_y
_atom_site_fract_z
Ta1 0.000 0.000 0.000
Be1 0.000 0.000 0.500
Au1 0.500 0.500 0.293

---

# 7
# TaBeAu2, relaxed, DFT GGA-PBEsol
# energy of formation	-0.130	eV/atom
data_TaBeAu2
_chemical_formula_sum 'Ta1 Be1 Au2'
_cell_length_a 2.845
_cell_length_b 2.845
_cell_length_c 7.328
_cell_angle_alpha 90.00
_cell_angle_beta 90.00
_cell_angle_gamma 90.00
_symmetry_space_group_name_H-M 'P 4 m m'
_symmetry_Int_Tables_number 99
loop_
_symmetry_equiv_pos_as_xyz
'x,y,z'
'-y,x,z'
'-x,-y,z'
'y,-x,z'
'-x,y,z'
'y,x,z'
'x,-y,z'
'-y,-x,z'
loop_
_atom_site_label
_atom_site_fract_x
_atom_site_fract_y
_atom_site_fract_z
Ta1 0.000 0.000 0.000
Be1 0.500 0.500 0.773
Au1 0.000 0.000 0.585
Au2 0.500 0.500 0.281

---

# 8
# TaBeAu, relaxed, DFT GGA-PBEsol
# energy of formation	-0.158	eV/atom
data_TaBeAu
_chemical_formula_sum 'Ta2 Be2 Au2'
_cell_length_a 2.835
_cell_length_b 2.835
_cell_length_c 10.484
_cell_angle_alpha 90.00
_cell_angle_beta 90.00
_cell_angle_gamma 90.00
_symmetry_space_group_name_H-M 'I 4 m m'
_symmetry_Int_Tables_number 107
_symmetry_space_group_name_Hall 'I 4 -2'
loop_
_atom_site_label
_atom_site_fract_x
_atom_site_fract_y
_atom_site_fract_z
Ta1 0.000 0.000 0.000
Be1 0.000 0.000 0.657
Au1 0.000 0.000 0.294